(1)
The following is a GGA-PBE calculation of Ge3Pd5 after structural relaxation, from Alexandria via LeMat-Bulk.

Raw total energy ... -5.35 eV per atom
Total magnetic moment ... 0.0 Bohr magnetons per cell
Space group ... No. 63
Energy of formation from the pure elements ... -3.0 eV/f.u.
Theoretical density ... 10.00 g/cm3

a b c (Å): 5.5615 5.5615 8.1718
angles (deg): 90.00 90.00 99.85
Positions (direct):
Ge: 0.8026 0.1974 0.5000
Pd: 0.7034 0.7034 0.5015
Pd: 0.9984 0.9984 0.2500
Pd: 0.2966 0.2966 0.4985
Ge: 0.1974 0.8026 0.5000
Ge: 0.4978 0.4978 0.7500
Pd: 0.4982 0.9966 0.2500
Ge: 0.8026 0.1974 0.0000
Pd: 0.9966 0.4982 0.2500
Ge: 0.5022 0.5022 0.2500
Pd: 0.5018 0.0034 0.7500
Pd: 0.7034 0.7034 0.9985
Pd: 0.0034 0.5018 0.7500
Ge: 0.1974 0.8026 0.0000
Pd: 0.0016 0.0016 0.7500
Pd: 0.2966 0.2966 0.0015



(2)
The following is a GGA-PBE calculation of PrCdIr after structural relaxation, from Alexandria via LeMat-Bulk.

Raw total energy ... -5.33 eV per atom
Total magnetic moment ... 0.0 Bohr magnetons per cell
Space group ... No. 63
Energy of formation from the pure elements ... -1.4 eV/f.u.
Theoretical density ... 10.13 g/cm3

a b c (Å): 4.1228 4.0669 8.9443
angles (deg): 103.14 90.00 90.00
Positions (direct):
Ir: 0.7500 0.4543 0.9085
Cd: 0.7500 0.2923 0.5847
Cd: 0.2500 0.7077 0.4153
Ir: 0.2500 0.5457 0.0915
Pr: 0.2500 0.9036 0.8072
Pr: 0.7500 0.0964 0.1928



Which of these has the highest theoretical density?
PrCdIr